Entry from Alexandria: a relaxed U2ZnSn crystal (PBE).

Cell lengths 3.993, 3.993, 5.129 Å; angles 90.00, 90.00, 90.00 degrees
Space group P4/mmm (No. 123)
One atom of each set of equivalent atoms:
1 U 0.000 0.500 0.000
2 Zn 0.000 0.000 0.500
3 Sn 0.500 0.500 0.500

VASP energy	-6.95	eV/atom
ΔE_f	0.015	eV per atom